Record 1
Density functional theory data (PBE-GGA) for an optimized crystal structure of InSi2Os.

abc: 5.1443 5.1443 5.1443
angles: 144.44 123.29 68.75
Atoms (fractional coordinates):
In (0.0000, 0.0000, 0.0000)
Si (0.5015, 0.5015, 0.0000)
Si (0.7298, 0.2298, 0.5000)
Os (0.2854, 0.7854, 0.5000)

## Properties
ΔE_f (raw), kJ/mol of formula units: 175
Theoretical density, g/cm3: 9.20
Magnetic moment, μB/cell: 0.0
Density of states at the Fermi level, states/eV/f.u.: 2.0

---

Record 2
Density functional theory data (PBE-GGA) for an optimized crystal structure of InSi2Os2.

abc: 6.5692 6.5692 6.5692
angles: 147.94 147.94 45.98
Atoms (fractional coordinates):
In (0.0000, 0.0000, 0.0000)
Si (0.2500, 0.7500, 0.5000)
Si (0.7500, 0.2500, 0.5000)
Os (0.3823, 0.3823, 0.0000)
Os (0.6177, 0.6177, 0.0000)

## Properties
ΔE_f (raw), kJ/mol of formula units: -86
Energy above the most stable polymorph in this dataset, meV per atom: 0
Theoretical density, g/cm3: 11.50
Magnetic moment, μB/cell: 0.0
Density of states at the Fermi level, states/eV/f.u.: 2.2

---

Copy entry 1 word for word.
Density functional theory data (PBE-GGA) for an optimized crystal structure of InSi2Os.

abc: 5.1443 5.1443 5.1443
angles: 144.44 123.29 68.75
Atoms (fractional coordinates):
In (0.0000, 0.0000, 0.0000)
Si (0.5015, 0.5015, 0.0000)
Si (0.7298, 0.2298, 0.5000)
Os (0.2854, 0.7854, 0.5000)

## Properties
ΔE_f (raw), kJ/mol of formula units: 175
Theoretical density, g/cm3: 9.20
Magnetic moment, μB/cell: 0.0
Density of states at the Fermi level, states/eV/f.u.: 2.0

---

What is the ΔE_f (raw) in the second record? -86 kJ/mol of formula units

---

What is the formula in the first record? InSi2Os

---

What did the first record say?
Density functional theory data (PBE-GGA) for an optimized crystal structure of InSi2Os.

abc: 5.1443 5.1443 5.1443
angles: 144.44 123.29 68.75
Atoms (fractional coordinates):
In (0.0000, 0.0000, 0.0000)
Si (0.5015, 0.5015, 0.0000)
Si (0.7298, 0.2298, 0.5000)
Os (0.2854, 0.7854, 0.5000)

## Properties
ΔE_f (raw), kJ/mol of formula units: 175
Theoretical density, g/cm3: 9.20
Magnetic moment, μB/cell: 0.0
Density of states at the Fermi level, states/eV/f.u.: 2.0